KZn3Br after structural relaxation. Source: Alexandria via LeMat-Bulk, functional GGA-PBE.

Geometry as POSCAR:
```
KZn3Br
1.0
6.377 0.000 0.000
0.000 6.377 0.000
0.000 0.000 6.377
K Zn Br
1 3 1
Direct
0.000 0.000 0.000 K
0.000 0.000 0.500 Zn
0.000 0.500 0.000 Zn
0.500 0.000 0.000 Zn
0.500 0.500 0.500 Br
```

Summary:
V	51.87	Å³ per atom
formation energy (no corrections)	0.3629	eV/atom
Fermi-level density of states	0.0	states/eV/cell
excess energy over the best structure of this formula in the dataset	76.9	meV/atom